# Tm2Fe12P7

A crystal of Tm2Fe12P7 relaxed with PBEsol (SCAN, the Alexandria database).

Properties
Total energy ... -407.61 eV/cell
Formation enthalpy at 0 K ... -0.65 eV/atom
Volume ... 11.40 A^3/atom

a b c (Å): 8.7914 8.7914 3.5770
angles (deg): 90.00 90.00 120.00
Space group P-6 (No. 174)
One atom of each set of equivalent atoms:
1 Tm 0.0000 0.0000 0.0000
2 Tm 0.3333 0.6667 0.5000
3 Fe 0.0362 0.7593 0.5000
4 Fe 0.0996 0.3824 0.0000
5 Fe 0.4549 0.2379 0.0000
6 Fe 0.5117 0.0590 0.5000
7 P 0.0682 0.6229 0.0000
8 P 0.2549 0.0354 0.5000
9 P 0.6667 0.3333 0.5000



# UFe4P12

A crystal of UFe4P12 relaxed with PBEsol (SCAN, the Alexandria database).

Properties
Total energy ... -619.84 eV/cell
Formation enthalpy at 0 K ... -0.53 eV/atom
Volume ... 13.30 A^3/atom

a b c (Å): 7.676 7.676 7.676
angles (deg): 90.00 90.00 90.00
Space group Im-3 (No. 204)
One atom of each set of equivalent atoms:
1 U 0.000 0.000 0.000
2 Fe 0.250 0.250 0.250
3 P 0.000 0.152 0.348



# FePW2

A crystal of FePW2 relaxed with PBEsol (SCAN, the Alexandria database).

Properties
Total energy ... -334.93 eV/cell
Formation enthalpy at 0 K ... 0.11 eV/atom
Volume ... 13.04 A^3/atom

a b c (Å): 3.706 2.873 9.795
angles (deg): 90.00 90.00 90.00
Space group Amm2 (No. 38)
One atom of each set of equivalent atoms:
1 Fe 0.000 0.000 0.000
2 P 0.500 0.000 0.878
3 W 0.000 0.000 0.273
4 W 0.500 0.000 0.612



# FePW2

A crystal of FePW2 relaxed with PBEsol (SCAN, the Alexandria database).

Properties
Total energy ... -334.24 eV/cell
Formation enthalpy at 0 K ... 0.20 eV/atom
Volume ... 13.05 A^3/atom

a b c (Å): 3.722 4.038 6.948
angles (deg): 90.00 90.00 90.00
Space group Cmm2 (No. 35)
One atom of each set of equivalent atoms:
1 Fe 0.000 0.000 0.000
2 P 0.000 0.500 0.168
3 W 0.000 0.000 0.420
4 W 0.000 0.500 0.728



# FeP2W

A crystal of FeP2W relaxed with PBEsol (SCAN, the Alexandria database).

Properties
Total energy ... -109.33 eV/cell
Formation enthalpy at 0 K ... -0.18 eV/atom
Volume ... 12.39 A^3/atom

a b c (Å): 3.084 3.084 5.211
angles (deg): 90.00 90.00 90.00
Space group P4mm (No. 99)
One atom of each set of equivalent atoms:
1 Fe 0.000 0.000 0.000
2 P 0.000 0.000 0.438
3 P 0.500 0.500 0.148
4 W 0.500 0.500 0.644



# Y2FeP

A crystal of Y2FeP relaxed with PBEsol (SCAN, the Alexandria database).

Properties
Total energy ... -85.23 eV/cell
Formation enthalpy at 0 K ... -0.25 eV/atom
Volume ... 19.21 A^3/atom

a b c (Å): 3.123 3.123 7.876
angles (deg): 90.00 90.00 90.00
Space group P4mm (No. 99)
One atom of each set of equivalent atoms:
1 Y 0.000 0.000 0.000
2 Y 0.500 0.500 0.388
3 Fe 0.000 0.000 0.639
4 P 0.500 0.500 0.753



# YFeP

A crystal of YFeP relaxed with PBEsol (SCAN, the Alexandria database).

Properties
Total energy ... -230.33 eV/cell
Formation enthalpy at 0 K ... -0.40 eV/atom
Volume ... 16.99 A^3/atom

a b c (Å): 5.886 5.886 5.886
angles (deg): 90.00 90.00 90.00
Space group F-43m (No. 216)
One atom of each set of equivalent atoms:
1 Y 0.000 0.000 0.000
2 Fe 0.250 0.250 0.250
3 P 0.000 0.000 0.500



# YFeP2

A crystal of YFeP2 relaxed with PBEsol (SCAN, the Alexandria database).

Properties
Total energy ... -210.46 eV/cell
Formation enthalpy at 0 K ... -0.85 eV/atom
Polymorph energy (0 for the lowest one) ... 0.0 kJ/mol of atoms
Volume ... 15.65 A^3/atom

a b c (Å): 3.6618 3.6618 16.1681
angles (deg): 90.00 90.00 120.00
Space group R3m (No. 160, hexagonal axes)
One atom of each set of equivalent atoms:
1 Y 0.0000 0.0000 0.0000
2 Fe 0.0000 0.0000 0.8144
3 P 0.0000 0.0000 0.2132
4 P 0.0000 0.0000 0.4418



# YFe5P3

A crystal of YFe5P3 relaxed with PBEsol (SCAN, the Alexandria database).

Properties
Total energy ... -622.63 eV/cell
Formation enthalpy at 0 K ... -0.66 eV/atom
Volume ... 11.80 A^3/atom

a b c (Å): 11.634 3.607 10.124
angles (deg): 90.00 90.00 90.00
Space group Pnma (No. 62)
One atom of each set of equivalent atoms:
1 Y 0.204 0.250 0.081
2 Fe 0.010 0.750 0.095
3 Fe 0.011 0.750 0.705
4 Fe 0.066 0.750 0.464
5 Fe 0.175 0.250 0.780
6 Fe 0.201 0.250 0.377
7 P 0.104 0.750 0.897
8 P 0.113 0.250 0.579
9 P 0.130 0.750 0.267



# YFeP2

A crystal of YFeP2 relaxed with PBEsol (SCAN, the Alexandria database).

Properties
Total energy ... -67.72 eV/cell
Formation enthalpy at 0 K ... -0.24 eV/atom
Polymorph energy (0 for the lowest one) ... 58.8 kJ/mol of atoms
Volume ... 14.28 A^3/atom

a b c (Å): 2.864 3.085 6.465
angles (deg): 90.00 90.00 90.00
Space group Pmmm (No. 47)
One atom of each set of equivalent atoms:
1 Y 0.000 0.000 0.000
2 Fe 0.000 0.000 0.500
3 P 0.500 0.500 0.309



# YFeP2

A crystal of YFeP2 relaxed with PBEsol (SCAN, the Alexandria database).

Properties
Total energy ... -272.65 eV/cell
Formation enthalpy at 0 K ... -0.35 eV/atom
Polymorph energy (0 for the lowest one) ... 48.0 kJ/mol of atoms
Volume ... 15.62 A^3/atom

a b c (Å): 6.298 6.298 6.298
angles (deg): 90.00 90.00 90.00
Space group Fm-3m (No. 225)
One atom of each set of equivalent atoms:
1 Y 0.000 0.000 0.000
2 Fe 0.000 0.000 0.500
3 P 0.250 0.250 0.250



# YFe4P2

A crystal of YFe4P2 relaxed with PBEsol (SCAN, the Alexandria database).

Properties
Total energy ... -250.83 eV/cell
Formation enthalpy at 0 K ... -0.61 eV/atom
Volume ... 12.17 A^3/atom

a b c (Å): 6.944 6.944 3.532
angles (deg): 90.00 90.00 90.00
Space group P4_2/mnm (No. 136)
One atom of each set of equivalent atoms:
1 Y 0.000 0.000 0.000
2 Fe 0.078 0.346 0.500
3 P 0.222 0.778 0.500